No. 1
Entry from the Alexandria database: a relaxed NpV2Sn crystal (PBE).

## Properties
- spin magnetization (μB per formula unit) = 3.8
- energy of formation from the pure elements (eV/atom) = 0.195
- energy (eV/atom) = -8.600
- Fermi-level density of states (states/eV/cell) = 11.0
- energy relative to the lowest polymorph listed for this composition (meV per atom) = 25.3

a b c (Å): 4.6365 4.6365 4.6365
angles (deg): 60.00 60.00 60.00
Atoms (fractional coordinates):
V 0.2500 0.2500 0.2500
Sn 0.0000 0.0000 0.0000
Np 0.5000 0.5000 0.5000
V 0.7500 0.7500 0.7500

***

No. 2
Entry from the Alexandria database: a relaxed Y2ScMnTc crystal (PBE).

## Properties
- spin magnetization (μB per formula unit) = 0.4
- energy of formation from the pure elements (eV/atom) = 1.548
- energy (eV/atom) = -6.211
- Fermi-level density of states (states/eV/cell) = 8.5

a b c (Å): 5.4190 4.4215 5.4190
angles (deg): 90.00 90.00 90.00
Atoms (fractional coordinates):
Tc 0.0000 0.5000 0.0000
Mn 0.5000 0.5000 0.5000
Y 0.0000 0.0000 0.5000
Y 0.5000 0.0000 0.0000
Sc 0.0000 0.0000 0.0000

***

No. 3
Entry from the Alexandria database: a relaxed PmTmIn2 crystal (PBE).

## Properties
- spin magnetization (μB per formula unit) = 0.0
- energy of formation from the pure elements (eV/atom) = -0.308
- energy (eV/atom) = -3.983
- Fermi-level density of states (states/eV/cell) = 2.4

a b c (Å): 3.7051 3.7051 10.0218
angles (deg): 79.35 79.35 60.00
Atoms (fractional coordinates):
Pm 0.5000 0.5000 0.5000
In 0.2525 0.2525 0.2425
Tm 0.0000 0.0000 0.0000
In 0.7475 0.7475 0.7575

***

No. 4
Entry from the Alexandria database: a relaxed PuAl4Pd5 crystal (PBE).

## Properties
- spin magnetization (μB per formula unit) = 5.8
- energy of formation from the pure elements (eV/atom) = -0.785
- energy (eV/atom) = -6.311
- Fermi-level density of states (states/eV/cell) = 11.2

a b c (Å): 3.0747 3.0747 16.7407
angles (deg): 90.00 90.00 90.00
Atoms (fractional coordinates):
Pd 0.5000 0.5000 0.5000
Pu 0.0000 0.0000 0.0000
Pd 0.5000 0.5000 0.3182
Al 0.0000 0.0000 0.5913
Al 0.0000 0.0000 0.2221
Pd 0.5000 0.5000 0.8622
Pd 0.5000 0.5000 0.6818
Pd 0.5000 0.5000 0.1378
Al 0.0000 0.0000 0.7779
Al 0.0000 0.0000 0.4087

***

No. 5
Entry from the Alexandria database: a relaxed LaCd2Br crystal (PBE).

## Properties
- spin magnetization (μB per formula unit) = 0.0
- energy (eV/atom) = -2.627
- ΔE_f (raw) (kcal/mol of atoms) = -12.0
- Fermi-level density of states (states/eV/cell) = 2.3
- energy relative to the lowest polymorph listed for this composition (meV per atom) = 92.9

a b c (Å): 7.0359 6.1242 3.6763
angles (deg): 90.12 58.26 114.62
Atoms (fractional coordinates):
La 0.0000 0.5000 0.5000
Cd 0.5000 0.0000 0.5000
Br 0.5000 0.5000 0.0000
Cd 0.0000 0.0000 0.0000

***

No. 6
Entry from the Alexandria database: a relaxed RuPtW2 crystal (PBE).

## Properties
- spin magnetization (μB per formula unit) = 0.0
- energy of formation from the pure elements (eV/atom) = 0.589
- energy (eV/atom) = -9.716
- Fermi-level density of states (states/eV/cell) = 7.7
- energy relative to the lowest polymorph listed for this composition (meV per atom) = 761.1

a b c (Å): 7.0478 7.0478 5.6793
angles (deg): 51.65 51.65 90.00
Atoms (fractional coordinates):
W 0.3750 0.3943 0.7500
Ru 0.5000 0.5000 0.0000
Pt 0.7500 0.2500 0.5000
W 0.1443 0.6250 0.2500
Pt 0.0000 0.0000 0.0000
W 0.6057 0.1250 0.2500
Ru 0.2500 0.7500 0.5000
W 0.8750 0.8557 0.7500

***

No. 7
Entry from the Alexandria database: a relaxed Ca2ReRh crystal (PBE).

## Properties
- spin magnetization (μB per formula unit) = 0.1
- energy of formation from the pure elements (eV/atom) = 0.587
- energy (eV/atom) = -5.364
- Fermi-level density of states (states/eV/cell) = 7.3

a b c (Å): 5.2879 5.2879 2.9336
angles (deg): 90.00 90.00 90.00
Atoms (fractional coordinates):
Re 0.5000 0.0000 0.5000
Ca 0.0000 0.0000 0.0000
Ca 0.5000 0.5000 0.0000
Rh 0.0000 0.5000 0.5000

***

No. 8
Entry from the Alexandria database: a relaxed KPC2I crystal (PBE).

## Properties
- spin magnetization (μB per formula unit) = 1.9
- energy (eV/atom) = -2.868
- ΔE_f (raw) (kcal/mol of atoms) = 56.1
- Fermi-level density of states (states/eV/cell) = 4.7

a b c (Å): 4.6070 5.3022 4.6070
angles (deg): 90.00 90.00 90.00
Atoms (fractional coordinates):
K 0.5000 0.5000 0.5000
I 0.0000 0.0000 0.0000
C 0.0000 0.0000 0.5000
P 0.0000 0.5000 0.0000
C 0.5000 0.0000 0.0000

***

> What is the spin magnetization in the fourth record?

5.8 μB per formula unit

***

> The highest spin magnetization belongs to which entry?

PuAl4Pd5